No. 1
# PBE MgCo3, optimized geometry
data_MgCo3
_chemical_formula_sum 'Mg1 Co3'
_symmetry_space_group_name_H-M 'P -6 m 2'
_symmetry_Int_Tables_number 187
_symmetry_space_group_name_Hall 'P -6 2'
_cell_length_a 2.6347
_cell_length_b 2.6347
_cell_length_c 8.2221
_cell_angle_alpha 90.00
_cell_angle_beta 90.00
_cell_angle_gamma 120.00
loop_
_atom_site_label
_atom_site_type_symbol
_atom_site_fract_x
_atom_site_fract_y
_atom_site_fract_z
_atom_site_occupancy
Mg1 Mg 0.0000 0.0000 0.0000 1
Co1 Co 0.0000 0.0000 0.5000 1
Co2 Co 0.3333 0.6667 0.2679 1
# - crystal system = hexagonal

No. 2
# PBE Al2Pd3Pt4, optimized geometry
data_Al2Pd3Pt4
_chemical_formula_sum 'Al4 Pd6 Pt8'
_symmetry_space_group_name_H-M 'C 1 2/m 1'
_symmetry_Int_Tables_number 12
_cell_length_a 8.6330
_cell_length_b 4.0043
_cell_length_c 8.2332
_cell_angle_alpha 90.00
_cell_angle_beta 107.07
_cell_angle_gamma 90.00
loop_
_symmetry_equiv_pos_as_xyz
'x,y,z'
'-x,-y,-z'
'-x,y,-z'
'x,-y,z'
'x+1/2,y+1/2,z'
'-x+1/2,-y+1/2,-z'
'-x+1/2,y+1/2,-z'
'x+1/2,-y+1/2,z'
loop_
_atom_site_label
_atom_site_type_symbol
_atom_site_fract_x
_atom_site_fract_y
_atom_site_fract_z
_atom_site_occupancy
Al1 Al 0.1663 0.0000 0.2193 1
Pd1 Pd 0.0000 0.5000 0.0000 1
Pd2 Pd 0.1667 0.0000 0.5486 1
Pt1 Pt 0.0041 0.5000 0.6702 1
Pt2 Pt 0.1658 0.0000 0.8896 1
# - crystal system = monoclinic

| no. | DOS at the Fermi energy (states/eV/cell) | E_form (eV/atom) |
| --- | --- | --- |
| 1 | 4.20 | 0.207 |
| 2 | 12.31 | -0.566 |